# 1
An optimized crystal structure of LaCoRe, computed with PBE-GGA. Values from VASP.

Cell and atoms, written as Quantum ESPRESSO input:
```
&SYSTEM
  ibrav = 0, nat = 3, ntyp = 3
/
ATOMIC_SPECIES
Co 58.93 Co.upf
La 138.91 La.upf
Re 186.21 Re.upf
ATOMIC_POSITIONS crystal
Co 0.000 0.000 0.962
La 0.667 0.333 0.326
Re 0.333 0.667 0.712
CELL_PARAMETERS angstrom
2.898 0.000 0.000
-1.449 2.510 0.000
0.000 0.000 7.412
```

**Space-group type**: P3m1
**Electronic total energy**: -7.4611 eV/atom
**Formation energy from the elements**: 67.5 kJ per mole of atoms



# 2
An optimized crystal structure of Sm7TmHg4, computed with PBE-GGA. Values from VASP.

Cell and atoms, written as Quantum ESPRESSO input:
```
&SYSTEM
  ibrav = 0, nat = 12, ntyp = 3
/
ATOMIC_SPECIES
Sm 150.36 Sm.upf
Tm 168.93 Tm.upf
Hg 200.59 Hg.upf
ATOMIC_POSITIONS crystal
Sm 0.788 0.891 0.532
Sm 0.212 0.109 0.468
Sm 0.064 0.599 0.273
Sm 0.936 0.401 0.727
Sm 0.267 0.686 0.780
Sm 0.500 0.000 0.000
Sm 0.733 0.314 0.220
Tm 0.000 0.000 0.000
Hg 0.547 0.271 0.634
Hg 0.453 0.729 0.366
Hg 0.688 0.657 0.967
Hg 0.312 0.343 0.033
CELL_PARAMETERS angstrom
5.770 0.000 0.000
2.885 8.580 0.879
2.885 1.006 7.358
```

**Space-group type**: C2/m
**Electronic total energy**: -3.3451 eV/atom
**Formation energy from the elements**: -11.5 kJ per mole of atoms



# 3
An optimized crystal structure of ZrTiNiW, computed with PBE-GGA. Values from VASP.

Cell and atoms, written as Quantum ESPRESSO input:
```
&SYSTEM
  ibrav = 0, nat = 4, ntyp = 4
/
ATOMIC_SPECIES
Ni 58.69 Ni.upf
Zr 91.22 Zr.upf
W 183.84 W.upf
Ti 47.87 Ti.upf
ATOMIC_POSITIONS crystal
Ni 0.000 0.000 0.000
Zr 0.750 0.750 0.750
W 0.500 0.500 0.500
Ti 0.250 0.250 0.250
CELL_PARAMETERS angstrom
-1.522 1.141 4.100
-1.841 -3.139 2.681
2.201 -1.389 3.695
```

**Space-group type**: F-43m
**Electronic total energy**: -8.8807 eV/atom
**Formation energy from the elements**: -8.3 kJ per mole of atoms



# 4
An optimized crystal structure of LuMgTc4, computed with PBE-GGA. Values from VASP.

Cell and atoms, written as Quantum ESPRESSO input:
```
&SYSTEM
  ibrav = 0, nat = 6, ntyp = 3
/
ATOMIC_SPECIES
Mg 24.30 Mg.upf
Lu 174.97 Lu.upf
Tc 98.00 Tc.upf
ATOMIC_POSITIONS crystal
Mg 0.000 0.000 0.000
Lu 0.250 0.250 0.250
Tc 0.625 0.625 0.124
Tc 0.625 0.124 0.625
Tc 0.625 0.625 0.625
Tc 0.124 0.625 0.625
CELL_PARAMETERS angstrom
5.280 0.000 0.000
2.640 4.573 0.000
2.640 1.524 4.311
```

**Space-group type**: F-43m
**Electronic total energy**: -7.9793 eV/atom
**Formation energy from the elements**: -4.8 kJ per mole of atoms



# 5
An optimized crystal structure of NaAcGe4, computed with PBE-GGA. Values from VASP.

Cell and atoms, written as Quantum ESPRESSO input:
```
&SYSTEM
  ibrav = 0, nat = 6, ntyp = 3
/
ATOMIC_SPECIES
Na 22.99 Na.upf
Ac 227.00 Ac.upf
Ge 72.64 Ge.upf
ATOMIC_POSITIONS crystal
Na 0.000 0.000 0.000
Ac 0.000 0.000 0.500
Ge 0.667 0.333 0.754
Ge 0.333 0.667 0.246
Ge 0.667 0.333 0.246
Ge 0.333 0.667 0.754
CELL_PARAMETERS angstrom
4.475 0.000 0.000
-2.237 3.875 0.000
0.000 0.000 8.861
```

**Space-group type**: P6/mmm
**Electronic total energy**: -4.2206 eV/atom
**Formation energy from the elements**: -22.9 kJ per mole of atoms



# 6
An optimized crystal structure of BiH2Rh, computed with PBE-GGA. Values from VASP.

Cell and atoms, written as Quantum ESPRESSO input:
```
&SYSTEM
  ibrav = 0, nat = 4, ntyp = 3
/
ATOMIC_SPECIES
H 1.01 H.upf
Rh 102.91 Rh.upf
Bi 208.98 Bi.upf
ATOMIC_POSITIONS crystal
H 0.314 0.314 0.057
H 0.686 0.686 0.943
Rh 0.000 0.000 0.000
Bi 0.500 0.500 0.500
CELL_PARAMETERS angstrom
3.246 0.000 0.000
1.623 2.811 0.000
1.623 0.937 5.335
```

**Space-group type**: R-3m
**Electronic total energy**: -4.3856 eV/atom



# 7
An optimized crystal structure of BaInSn, computed with PBE-GGA. Values from VASP.

Cell and atoms, written as Quantum ESPRESSO input:
```
&SYSTEM
  ibrav = 0, nat = 18, ntyp = 3
/
ATOMIC_SPECIES
Ba 137.33 Ba.upf
In 114.82 In.upf
Sn 118.71 Sn.upf
ATOMIC_POSITIONS crystal
Ba 0.750 0.507 0.372
Ba 0.250 0.968 0.699
Ba 0.750 0.032 0.301
Ba 0.750 0.673 0.082
Ba 0.250 0.493 0.628
Ba 0.250 0.327 0.918
In 0.250 0.997 0.103
In 0.250 0.841 0.441
In 0.750 0.647 0.797
In 0.750 0.159 0.559
In 0.250 0.353 0.203
In 0.750 0.003 0.897
Sn 0.250 0.777 0.915
Sn 0.750 0.274 0.754
Sn 0.750 0.784 0.549
Sn 0.750 0.223 0.085
Sn 0.250 0.216 0.451
Sn 0.250 0.726 0.246
CELL_PARAMETERS angstrom
-3.246 3.728 0.593
-5.621 -4.260 -3.990
-4.705 -6.202 13.243
```

**Space-group type**: P2_1/m
**Electronic total energy**: -3.3879 eV/atom
**Formation energy from the elements**: -48.2 kJ per mole of atoms



# 8
An optimized crystal structure of Y3TaP, computed with PBE-GGA. Values from VASP.

Cell and atoms, written as Quantum ESPRESSO input:
```
&SYSTEM
  ibrav = 0, nat = 5, ntyp = 3
/
ATOMIC_SPECIES
Y 88.91 Y.upf
P 30.97 P.upf
Ta 180.95 Ta.upf
ATOMIC_POSITIONS crystal
Y 0.000 0.500 0.000
Y 0.000 0.000 0.500
Y 0.500 0.000 0.000
P 0.500 0.500 0.500
Ta 0.000 0.000 0.000
CELL_PARAMETERS angstrom
-5.104 1.649 -0.335
-1.207 -4.335 -2.939
-1.172 -2.716 4.487
```

**Space-group type**: Pm-3m
**Electronic total energy**: -6.5787 eV/atom
**Formation energy from the elements**: 72.6 kJ per mole of atoms



# 9
An optimized crystal structure of Pm3CdGa8, computed with PBE-GGA. Values from VASP.

Cell and atoms, written as Quantum ESPRESSO input:
```
&SYSTEM
  ibrav = 0, nat = 12, ntyp = 3
/
ATOMIC_SPECIES
Pm 145.00 Pm.upf
Cd 112.41 Cd.upf
Ga 69.72 Ga.upf
ATOMIC_POSITIONS crystal
Pm 0.374 0.374 0.877
Pm 0.992 0.992 0.024
Pm 0.506 0.506 0.483
Cd 0.871 0.871 0.386
Ga 0.944 0.438 0.181
Ga 0.434 0.938 0.689
Ga 0.438 0.438 0.181
Ga 0.938 0.938 0.689
Ga 0.189 0.189 0.434
Ga 0.688 0.688 0.936
Ga 0.438 0.944 0.181
Ga 0.938 0.434 0.689
CELL_PARAMETERS angstrom
-1.918 4.758 -2.284
-3.876 -0.197 -4.058
-8.545 1.879 4.186
```

**Space-group type**: R3m
**Electronic total energy**: -3.6982 eV/atom
**Formation energy from the elements**: -40.2 kJ per mole of atoms



# 10
An optimized crystal structure of Ho6ErHg2, computed with PBE-GGA. Values from VASP.

Cell and atoms, written as Quantum ESPRESSO input:
```
&SYSTEM
  ibrav = 0, nat = 9, ntyp = 3
/
ATOMIC_SPECIES
Ho 164.93 Ho.upf
Er 167.26 Er.upf
Hg 200.59 Hg.upf
ATOMIC_POSITIONS crystal
Ho 0.688 0.501 0.123
Ho 0.312 0.499 0.877
Ho 0.312 0.790 0.585
Ho 0.984 0.695 0.337
Ho 0.016 0.305 0.663
Ho 0.688 0.210 0.415
Er 0.000 0.000 0.000
Hg 0.357 0.082 0.205
Hg 0.643 0.918 0.795
CELL_PARAMETERS angstrom
-0.185 -3.645 0.636
5.783 -2.476 -1.714
5.952 -0.465 9.864
```

**Space-group type**: C2/m
**Electronic total energy**: -3.8323 eV/atom
**Formation energy from the elements**: -19.9 kJ per mole of atoms



# 11
An optimized crystal structure of SiSnGe2Ir, computed with PBE-GGA. Values from VASP.

Cell and atoms, written as Quantum ESPRESSO input:
```
&SYSTEM
  ibrav = 0, nat = 5, ntyp = 4
/
ATOMIC_SPECIES
Ge 72.64 Ge.upf
Ir 192.22 Ir.upf
Si 28.09 Si.upf
Sn 118.71 Sn.upf
ATOMIC_POSITIONS crystal
Ge 0.000 0.000 0.500
Ge 0.500 0.000 0.000
Ir 0.000 0.500 0.000
Si 0.500 0.500 0.500
Sn 0.000 0.000 0.000
CELL_PARAMETERS angstrom
5.183 0.000 0.000
0.000 4.953 0.000
0.000 0.000 5.183
```

**Space-group type**: P4/mmm
**Electronic total energy**: -4.0396 eV/atom
**Formation energy (no corrections)**: 7.3 eV per formula unit



# 12
An optimized crystal structure of HfInGa3, computed with PBE-GGA. Values from VASP.

Cell and atoms, written as Quantum ESPRESSO input:
```
&SYSTEM
  ibrav = 0, nat = 5, ntyp = 3
/
ATOMIC_SPECIES
Hf 178.49 Hf.upf
Ga 69.72 Ga.upf
In 114.82 In.upf
ATOMIC_POSITIONS crystal
Hf 0.500 0.500 0.500
Ga 0.000 0.500 0.000
Ga 0.000 0.000 0.500
Ga 0.500 0.000 0.000
In 0.000 0.000 0.000
CELL_PARAMETERS angstrom
-2.398 -1.309 4.268
2.062 -4.622 -0.259
3.960 1.614 2.720
```

**Space-group type**: Pm-3m
**Electronic total energy**: -3.4435 eV/atom
**Formation energy from the elements**: 87.9 kJ per mole of atoms



- Among the records above, which one has the highest electronic total energy?
  Sm7TmHg4



- Look up the electronic total energy of the third one.
  -8.8807 eV/atom



- Which value of electronic total energy does entry 3 give?
  -8.8807 eV/atom



- Which of these has the highest electronic total energy?
  Sm7TmHg4